Here is crystalline Ac4Si2S at its relaxed geometry from Alexandria. Energies are from PBE.

Summary:
Size of the total moment   0.0 μB/f.u.
Polymorph energy (0 for the lowest one)   315 meV per atom
E_tot   -5.032 eV per atom

a b c (Å): 5.518 5.518 9.133
angles (deg): 107.58 107.58 90.00
Element x y z (fractional)
Ac  0.185  0.185  0.370
Ac  0.815  0.815  0.630
Ac  0.000  0.500  0.000
Ac  0.500  0.000  0.000
Si  0.373  0.373  0.747
Si  0.627  0.627  0.253
S  0.000  0.000  0.000